Material: LaZn3Au
Method: DFT, PBEsol
State: optimized geometry

Lattice parameters (Å, degrees): 5.5715 5.5715 5.5715 90.00 90.00 90.00
Closest atoms and distances in Å follow each position.
Space group Pm-3m (No. 221)
Inequivalent atoms, fractional coordinates:
La 0.0000 0.0000 0.0000 (multiplicity 1)  6 Zn 2.79
Zn 0.0000 0.0000 0.5000 (multiplicity 3)  2 La 2.79
Au 0.5000 0.5000 0.5000 (multiplicity 1)  12 Zn 3.94

Formation energy   1.2809 eV/atom



Material: CuRe2Pb
Method: DFT, PBEsol
State: optimized geometry

Lattice parameters (Å, degrees): 5.4072 9.6976 2.9943 90.00 123.51 90.00
Closest atoms and distances in Å follow each position.
Space group C2/m (No. 12)
Inequivalent atoms, fractional coordinates:
Cu 0.0000 0.0000 0.0000 (multiplicity 2)  4 Pb 2.70-2.71, 4 Re 2.78, 2 Cu 2.99
Re 0.2500 0.2500 0.5000 (multiplicity 4)  6 Re 2.70-2.99, 2 Pb 2.78, 2 Cu 2.78
Pb 0.0000 0.5000 0.0000 (multiplicity 2)  4 Cu 2.70-2.71, 4 Re 2.78, 2 Pb 2.99

Formation energy   0.9023 eV/atom
Distance to the lowest polymorph of the same formula   78 meV per atom



Material: CaLaAu2
Method: DFT, PBEsol
State: optimized geometry

Lattice parameters (Å, degrees): 4.2647 4.2647 6.0380 90.00 90.00 90.00
Closest atoms and distances in Å follow each position.
Space group P4/mmm (No. 123)
Inequivalent atoms, fractional coordinates:
Ca 0.0000 0.0000 0.0000 (multiplicity 1)  6 Au 3.02
La 0.5000 0.5000 0.5000 (multiplicity 1)  6 Au 3.02
Au 0.0000 0.0000 0.5000 (multiplicity 1)  4 La 3.02, 2 Ca 3.02
Au 0.5000 0.5000 0.0000 (multiplicity 1)  4 Ca 3.02, 2 La 3.02

Formation energy   -0.6454 eV/atom



Material: PmH
Method: DFT, PBEsol
State: optimized geometry

Lattice parameters (Å, degrees): 3.7790 3.7790 5.8509 90.00 90.00 120.00
Closest atoms and distances in Å follow each position.
Space group P6_3mc (No. 186)
Inequivalent atoms, fractional coordinates:
Pm 0.3333 0.6667 0.0000 (multiplicity 2)  4 H 2.26-2.32
H 0.3333 0.6667 0.3971 (multiplicity 2)  4 Pm 2.26-2.32

Uncorrected energy   -9.3 eV/f.u.



Please write out number 4 again, unchanged.
Material: PmH
Method: DFT, PBEsol
State: optimized geometry

Lattice parameters (Å, degrees): 3.7790 3.7790 5.8509 90.00 90.00 120.00
Closest atoms and distances in Å follow each position.
Space group P6_3mc (No. 186)
Inequivalent atoms, fractional coordinates:
Pm 0.3333 0.6667 0.0000 (multiplicity 2)  4 H 2.26-2.32
H 0.3333 0.6667 0.3971 (multiplicity 2)  4 Pm 2.26-2.32

Uncorrected energy   -9.3 eV/f.u.



Repeat the third record exactly.
Material: CaLaAu2
Method: DFT, PBEsol
State: optimized geometry

Lattice parameters (Å, degrees): 4.2647 4.2647 6.0380 90.00 90.00 90.00
Closest atoms and distances in Å follow each position.
Space group P4/mmm (No. 123)
Inequivalent atoms, fractional coordinates:
Ca 0.0000 0.0000 0.0000 (multiplicity 1)  6 Au 3.02
La 0.5000 0.5000 0.5000 (multiplicity 1)  6 Au 3.02
Au 0.0000 0.0000 0.5000 (multiplicity 1)  4 La 3.02, 2 Ca 3.02
Au 0.5000 0.5000 0.0000 (multiplicity 1)  4 Ca 3.02, 2 La 3.02

Formation energy   -0.6454 eV/atom



- Which formula does entry 4 have?
  PmH